The following is a GGA-PBE calculation of an optimized crystal structure of BaPb2Se, from Alexandria via LeMat-Bulk.

CIF file:
```
data_BaPb2Se
_space_group_name_H-M_alt 'R -3 m'
_space_group_IT_number 166
_space_group_name_Hall '-R 3 2"'
_cell_length_a 4.1086
_cell_length_b 4.1086
_cell_length_c 29.0993
_cell_angle_alpha 90.00
_cell_angle_beta 90.00
_cell_angle_gamma 120.00
loop_
_atom_site_label
_atom_site_type_symbol
_atom_site_fract_x
_atom_site_fract_y
_atom_site_fract_z
_atom_site_occupancy
Ba1 Ba 0.0000 0.0000 0.0000 1
Pb1 Pb 0.0000 0.0000 0.2321 1
Se1 Se 0.0000 0.0000 0.5000 1
```

- Energy relative to the elements, uncorrected: -75 kJ/mol of formula units
- Calculated total energy: -0.2499 Ry per atom